This record from the Alexandria database describes a relaxed MgNpCr2S6 crystal. The functional is PBE-GGA.

Lattice parameters (Å, degrees): 6.3429 6.3426 6.7359 61.91 61.91 59.99
With the nearest neighbours (Å) after each atom.
Positions (direct):
S1 0.1384 0.3752 0.7486  2 Cr 2.39-2.49, 1 Mg 2.59, 1 Np 2.65
S2 0.7378 0.1384 0.7486  2 Cr 2.39-2.49, 1 Mg 2.59, 1 Np 2.65
S3 0.8899 0.6247 0.2406  2 Cr 2.42-2.51, 1 Mg 2.55, 1 Np 2.66
S4 0.3752 0.7378 0.7485  2 Cr 2.39-2.49, 1 Mg 2.59, 1 Np 2.65
S5 0.6247 0.2448 0.2406  2 Cr 2.42-2.51, 1 Mg 2.55, 1 Np 2.66
S6 0.2448 0.8899 0.2406  2 Cr 2.42-2.51, 1 Mg 2.55, 1 Np 2.66
Cr1 0.0111 0.0111 0.9668  6 S 2.39-2.51
Cr2 0.5114 0.5114 0.4660  6 S 2.42-2.49
Mg1 0.3140 0.3140 0.0580  6 S 2.55-2.59
Np1 0.8143 0.8143 0.5570  6 S 2.65-2.66

Output
As for the total magnetization: 9.000 μB/f.u. Its formation energy (no corrections) is -0.94 eV/atom.